[1]
Compound: KAl2Hg
Source: Alexandria via LeMat-Bulk
Functional: PBE
Structure: optimized geometry

Cell and atoms, written as CIF:
```
data_KAl2Hg
_cell_length_a 5.892
_cell_length_b 6.506
_cell_length_c 2.992
_cell_angle_alpha 79.16
_cell_angle_beta 84.68
_cell_angle_gamma 115.56
_space_group_name_H-M_alt 'P 1'
_space_group_IT_number 1
_space_group_name_Hall 'P 1'
loop_
_atom_site_label
_atom_site_fract_x
_atom_site_fract_y
_atom_site_fract_z
K1 0.500 0.500 0.000
Hg1 0.000 0.500 0.500
Al1 0.500 0.000 0.500
Al2 0.000 0.000 0.000
```

Calculated formation energy in meV per atom: 314

=====

[2]
Compound: Li2InSi
Source: Alexandria via LeMat-Bulk
Functional: PBE
Structure: optimized geometry

Cell and atoms, written as CIF:
```
data_Li2InSi
_cell_length_a 4.930
_cell_length_b 4.930
_cell_length_c 4.930
_cell_angle_alpha 129.39
_cell_angle_beta 129.36
_cell_angle_gamma 74.41
_space_group_name_H-M_alt 'P 1'
_space_group_IT_number 1
_space_group_name_Hall 'P 1'
loop_
_atom_site_label
_atom_site_fract_x
_atom_site_fract_y
_atom_site_fract_z
Si1 0.500 0.500 0.000
Li1 0.750 0.250 0.500
Li2 0.000 0.000 0.000
In1 0.250 0.750 0.500
```

Energy relative to the elements, uncorrected in meV/atom: -112

=====

[3]
Compound: LaSc2Sn2
Source: Alexandria via LeMat-Bulk
Functional: PBE
Structure: optimized geometry

Cell and atoms, written as CIF:
```
data_LaSc2Sn2
_cell_length_a 5.356
_cell_length_b 5.356
_cell_length_c 6.422
_cell_angle_alpha 65.36
_cell_angle_beta 65.36
_cell_angle_gamma 90.00
_space_group_name_H-M_alt 'P 1'
_space_group_IT_number 1
_space_group_name_Hall 'P 1'
loop_
_atom_site_label
_atom_site_fract_x
_atom_site_fract_y
_atom_site_fract_z
Sc1 0.657 0.657 0.687
Sc2 0.343 0.343 0.313
Sn1 0.250 0.750 0.500
Sn2 0.750 0.250 0.500
La1 0.000 0.000 0.000
```

Energy above the lowest structure with this stoichiometry in eV per atom: 0.342
Calculated formation energy in meV per atom: -291

=====

[4]
Compound: YGa12Cu6
Source: Alexandria via LeMat-Bulk
Functional: PBE
Structure: optimized geometry

Cell and atoms, written as CIF:
```
data_YGa12Cu6
_cell_length_a 7.132
_cell_length_b 7.132
_cell_length_c 7.132
_cell_angle_alpha 104.55
_cell_angle_beta 104.55
_cell_angle_gamma 104.55
_space_group_name_H-M_alt 'P 1'
_space_group_IT_number 1
_space_group_name_Hall 'P 1'
loop_
_atom_site_label
_atom_site_fract_x
_atom_site_fract_y
_atom_site_fract_z
Ga1 0.112 0.500 0.888
Ga2 0.500 0.112 0.888
Ga3 0.888 0.112 0.500
Ga4 0.393 0.141 0.393
Ga5 0.141 0.393 0.393
Ga6 0.859 0.607 0.607
Ga7 0.112 0.888 0.500
Ga8 0.607 0.859 0.607
Ga9 0.393 0.393 0.141
Ga10 0.607 0.607 0.859
Ga11 0.500 0.888 0.112
Ga12 0.888 0.500 0.112
Cu1 0.287 0.711 0.711
Cu2 0.711 0.287 0.711
Cu3 0.289 0.289 0.713
Cu4 0.289 0.713 0.289
Cu5 0.711 0.711 0.287
Cu6 0.713 0.289 0.289
Y1 0.000 0.000 0.000
```

Calculated formation energy in meV per atom: -72